(1)
{
  "formula": "PmYTmTh",
  "functional": "GGA-PBE",
  "state": "relaxed",
  "de_polymorph_kj_per_mol_atoms": 0.00,
  "e_tot_ev_per_fu": -23.050,
  "e_form_ev_per_atom": 0.014,
  "lattice_angstrom": [[-0.2988, -1.1357, -3.3966], [2.2311, -1.6754, 2.2649], [-9.0549, -5.7897, 4.6362]],
  "species": ["Pm", "Y", "Tm", "Th"],
  "frac_coords": [[0.9724, 0.3842, 0.3721], [0.1317, 0.9639, 0.1102], [0.4735, 0.1346, 0.6235], [0.3003, 0.5480, 0.8639]]
}

***

(2)
{
  "formula": "PmYTm5Th2",
  "functional": "GGA-PBE",
  "state": "relaxed",
  "e_tot_ev_per_fu": -45.363,
  "e_form_ev_per_atom": 0.339,
  "lattice_angstrom": [[8.8295, 0.0000, 0.0000], [0.0000, 8.8295, 0.0000], [-4.4147, -4.4147, 7.5319]],
  "species": ["Pm", "Pm", "Y", "Y", "Tm", "Tm", "Tm", "Tm", "Tm", "Tm", "Tm", "Tm", "Tm", "Tm", "Th", "Th", "Th", "Th"],
  "frac_coords": [[0.2500, 0.2500, 0.5000], [0.7500, 0.7500, 0.5000], [0.2500, 0.7500, 0.5000], [0.7500, 0.2500, 0.5000], [0.9293, 0.4293, 0.2758], [0.6536, 0.1536, 0.7242], [0.0707, 0.5707, 0.7242], [0.1536, 0.0707, 0.7242], [0.5707, 0.6536, 0.7242], [0.8464, 0.9293, 0.2758], [0.4293, 0.3464, 0.2758], [0.3464, 0.8464, 0.2758], [0.5000, 0.5000, 0.0000], [0.0000, 0.0000, 0.0000], [0.1185, 0.3815, 0.0000], [0.6185, 0.1185, 0.0000], [0.3815, 0.8815, 0.0000], [0.8815, 0.6185, 0.0000]]
}

***

(3)
{
  "formula": "Pm3Y6Tm2Th",
  "functional": "GGA-PBE",
  "state": "relaxed",
  "e_tot_ev_per_fu": -69.153,
  "e_form_ev_per_atom": 0.020,
  "lattice_angstrom": [[-1.1251, -6.0049, 1.0584], [2.3248, 1.8026, -5.4580], [10.4170, 0.1137, 5.6512]],
  "species": ["Pm", "Pm", "Pm", "Y", "Y", "Y", "Y", "Y", "Y", "Tm", "Tm", "Th"],
  "frac_coords": [[0.1671, 0.8329, 0.5000], [0.8329, 0.1671, 0.5000], [0.5000, 0.5000, 0.5000], [0.9173, 0.5869, 0.7537], [0.7522, 0.7522, 0.2462], [0.0827, 0.4131, 0.2463], [0.5869, 0.9173, 0.7537], [0.2478, 0.2478, 0.7538], [0.4131, 0.0827, 0.2463], [0.3332, 0.6668, 0.0000], [0.6668, 0.3332, 0.0000], [0.0000, 0.0000, 0.0000]]
}

***

(4)
{
  "formula": "Pm2Y6TmTh",
  "functional": "GGA-PBE",
  "state": "relaxed",
  "e_tot_ev_per_fu": -58.702,
  "e_form_ev_per_atom": 0.147,
  "lattice_angstrom": [[9.2512, -2.1904, -2.2731], [0.7464, 8.4998, -1.9306], [0.7464, -2.2443, 8.4224]],
  "species": ["Pm", "Pm", "Pm", "Pm", "Y", "Y", "Y", "Y", "Y", "Y", "Y", "Y", "Y", "Y", "Y", "Y", "Tm", "Tm", "Th", "Th"],
  "frac_coords": [[0.4519, 0.8052, 0.7094], [0.0481, 0.2906, 0.1948], [0.5481, 0.1948, 0.2906], [0.9519, 0.7094, 0.8052], [0.0566, 0.1173, 0.7452], [0.4434, 0.2548, 0.8827], [0.9434, 0.8827, 0.2548], [0.5566, 0.7452, 0.1173], [0.3149, 0.9828, 0.4246], [0.1851, 0.5754, 0.0172], [0.6851, 0.0172, 0.5754], [0.8149, 0.4246, 0.9828], [0.1170, 0.7009, 0.4927], [0.3830, 0.5073, 0.2991], [0.8830, 0.2991, 0.5073], [0.6170, 0.4927, 0.7009], [0.2500, 0.4056, 0.5944], [0.7500, 0.5944, 0.4056], [0.2500, 0.9800, 0.0200], [0.7500, 0.0200, 0.9800]]
}

***

(5)
{
  "formula": "PmY2TmTh",
  "functional": "GGA-PBE",
  "state": "relaxed",
  "e_tot_ev_per_fu": -27.863,
  "e_form_ev_per_atom": 0.341,
  "lattice_angstrom": [[-2.9505, -1.1706, -5.5315], [-4.3464, -6.4775, 3.6892], [-4.1584, 4.5474, 1.2558]],
  "species": ["Pm", "Pm", "Y", "Y", "Y", "Y", "Tm", "Tm", "Th", "Th"],
  "frac_coords": [[0.0000, 0.0000, 0.0000], [0.0000, 0.0000, 0.5000], [0.6914, 0.6853, 0.7873], [0.6914, 0.3147, 0.7127], [0.3086, 0.6853, 0.2873], [0.3086, 0.3147, 0.2127], [0.1761, 0.5000, 0.7500], [0.8239, 0.5000, 0.2500], [0.5500, 0.0000, 0.2500], [0.4500, 0.0000, 0.7500]]
}

***

(6)
{
  "formula": "PmYTm2Th",
  "functional": "GGA-PBE",
  "state": "relaxed",
  "e_tot_ev_per_fu": -25.987,
  "e_form_ev_per_atom": 0.318,
  "lattice_angstrom": [[5.6009, 0.0000, 0.0000], [0.0000, 8.5121, 1.4474], [0.0000, -1.1929, 6.9788]],
  "species": ["Pm", "Pm", "Y", "Y", "Tm", "Tm", "Tm", "Tm", "Th", "Th"],
  "frac_coords": [[0.0000, 0.0000, 0.0000], [0.0000, 0.0000, 0.5000], [0.0000, 0.5000, 0.7500], [0.0000, 0.5000, 0.2500], [0.4999, 0.6786, 0.9995], [0.4999, 0.3214, 0.5005], [0.5001, 0.6786, 0.4995], [0.5001, 0.3214, 0.0005], [0.4999, 0.0000, 0.2500], [0.5001, 0.0000, 0.7500]]
}

***

(7)
{
  "formula": "PmY2Tm5Th",
  "functional": "GGA-PBE",
  "state": "relaxed",
  "e_tot_ev_per_fu": -44.553,
  "e_form_ev_per_atom": 0.323,
  "lattice_angstrom": [[-6.6907, -4.6104, 3.1300], [3.8577, -7.3615, -2.5971], [4.8777, 5.4619, 6.3603]],
  "species": ["Pm", "Pm", "Y", "Y", "Y", "Y", "Tm", "Tm", "Tm", "Tm", "Tm", "Tm", "Tm", "Tm", "Tm", "Tm", "Th", "Th"],
  "frac_coords": [[0.2500, 0.7500, 0.5000], [0.7500, 0.2500, 0.5000], [0.1153, 0.3847, 0.0000], [0.6153, 0.1153, 0.0000], [0.3847, 0.8847, 0.0000], [0.8847, 0.6153, 0.0000], [0.9280, 0.4280, 0.2746], [0.6534, 0.1534, 0.7254], [0.0720, 0.5720, 0.7254], [0.1534, 0.0720, 0.7254], [0.5720, 0.6534, 0.7254], [0.8466, 0.9280, 0.2746], [0.4280, 0.3466, 0.2746], [0.3466, 0.8466, 0.2746], [0.5000, 0.5000, 0.0000], [0.0000, 0.0000, 0.0000], [0.2500, 0.2500, 0.5000], [0.7500, 0.7500, 0.5000]]
}

***

(8)
{
  "formula": "PmYTmTh",
  "functional": "GGA-PBE",
  "state": "relaxed",
  "de_polymorph_kj_per_mol_atoms": 15.38,
  "e_tot_ev_per_fu": -22.412,
  "e_form_ev_per_atom": 0.173,
  "lattice_angstrom": [[5.6903, 0.0000, 0.0000], [2.8452, 4.9280, 0.0000], [2.8452, 1.6427, 4.6461]],
  "species": ["Y", "Tm", "Th", "Pm"],
  "frac_coords": [[0.0000, 0.0000, 0.0000], [0.2500, 0.2500, 0.2500], [0.5000, 0.5000, 0.5000], [0.7500, 0.7500, 0.7500]]
}

***

(9)
{
  "formula": "Pm2Y6Tm2Th",
  "functional": "GGA-PBE",
  "state": "relaxed",
  "e_tot_ev_per_fu": -63.076,
  "e_form_ev_per_atom": 0.143,
  "lattice_angstrom": [[-0.9265, -1.6836, -6.3484], [0.1035, -3.8556, 5.3961], [-9.7262, 6.8986, 2.1288]],
  "species": ["Pm", "Pm", "Y", "Y", "Y", "Y", "Y", "Y", "Tm", "Tm", "Th"],
  "frac_coords": [[0.8632, 0.1368, 0.0000], [0.1368, 0.8632, 0.0000], [0.7105, 0.7105, 0.7103], [0.1315, 0.4374, 0.7842], [0.2895, 0.2895, 0.2897], [0.4374, 0.1315, 0.7842], [0.8685, 0.5626, 0.2158], [0.5626, 0.8685, 0.2158], [0.3001, 0.6999, 0.5000], [0.6999, 0.3001, 0.5000], [0.0000, 0.0000, 0.5000]]
}

***

(10)
{
  "formula": "Pm3Y6TmTh2",
  "functional": "GGA-PBE",
  "state": "relaxed",
  "e_tot_ev_per_fu": -72.135,
  "e_form_ev_per_atom": 0.018,
  "lattice_angstrom": [[6.2131, 0.0009, 0.0006], [-3.1043, 5.3820, 0.0006], [-1.0383, -1.7978, 11.6606]],
  "species": ["Pm", "Pm", "Pm", "Y", "Y", "Y", "Y", "Y", "Y", "Tm", "Th", "Th"],
  "frac_coords": [[0.1664, 0.8336, 0.5000], [0.8336, 0.1664, 0.5000], [0.5000, 0.5000, 0.5000], [0.9184, 0.5817, 0.7549], [0.7450, 0.7450, 0.2456], [0.0816, 0.4183, 0.2451], [0.5817, 0.9184, 0.7549], [0.2550, 0.2550, 0.7544], [0.4183, 0.0816, 0.2451], [0.0000, 0.0000, 0.0000], [0.3335, 0.6665, 0.0000], [0.6665, 0.3335, 0.0000]]
}